Record 1
TaInCl2 (GGA-PBE, optimized geometry); space-group type = Cmmm (65); ρ = 6.5 g/cm3; energy relative to the elements, uncorrected = -134 kJ/mol of formula units; ΔE to the lowest computed polymorph = 0.66 eV/f.u.
1.0
3.3877 -0.0035 0.0000
-2.0312 2.7112 0.0000
0.0000 0.0000 10.1315
Cl In Ta
2 1 1
direct
0.0000 0.0000 0.9468
0.0000 0.0000 0.5532
0.5000 0.5000 0.2500
0.5000 0.5000 0.7500

=====

Record 2
TaInCl2 (GGA-PBE, optimized geometry); space-group type = Fm-3m (225); ρ = 7.7 g/cm3; energy relative to the elements, uncorrected = 198 kJ/mol of formula units; ΔE to the lowest computed polymorph = 4.10 eV/f.u.
1.0
-0.7859 -4.0435 -2.4817
-3.8621 -2.6992 0.9616
-3.6249 -0.2203 -3.1524
Cl In Ta
2 1 1
direct
0.2500 0.2500 0.2500
0.7500 0.7500 0.7500
0.0000 0.0000 0.0000
0.5000 0.5000 0.5000

=====

Record 3
TaInCl2 (GGA-PBE, optimized geometry); space-group type = I-4m2 (119); ρ = 7.1 g/cm3; energy relative to the elements, uncorrected = 188 kJ/mol of formula units; ΔE to the lowest computed polymorph = 3.99 eV/f.u.
1.0
-4.4409 -3.7586 -1.3965
0.4272 -5.9320 0.6545
0.9851 5.0650 3.0290
Cl In Ta
2 1 1
direct
0.0000 0.0000 0.0000
0.2500 0.7500 0.5000
0.5000 0.5000 0.0000
0.7500 0.2500 0.5000

=====

Record 4
TaInCl2 (GGA-PBE, optimized geometry); space-group type = P4/mmm (123); ρ = 7.3 g/cm3; energy relative to the elements, uncorrected = 189 kJ/mol of formula units; ΔE to the lowest computed polymorph = 4.00 eV/f.u.
1.0
-3.5049 2.1644 1.8927
-0.8568 -3.4748 2.3869
2.5904 1.4877 3.0956
Cl In Ta
2 1 1
direct
0.0000 0.0000 0.0000
0.0000 0.5000 0.5000
0.5000 0.5000 0.0000
0.5000 0.0000 0.5000

=====

Record 5
TaInCl2 (GGA-PBE, optimized geometry); space-group type = Cmm2 (35); ρ = 6.5 g/cm3; energy relative to the elements, uncorrected = -122 kJ/mol of formula units; ΔE to the lowest computed polymorph = 0.78 eV/f.u.
1.0
-2.9720 0.0913 -1.5553
1.9188 -2.7508 0.1051
-4.4645 -2.7945 8.3669
Cl In Ta
2 1 1
direct
0.0000 0.0000 0.9408
0.5000 0.5000 0.3012
0.0000 0.0000 0.5078
0.5000 0.5000 0.7503

=====

Record 6
TaIn2Cl6 (GGA-PBE, optimized geometry); space-group type = C2/m (12); ρ = 3.7 g/cm3; energy relative to the elements, uncorrected = -930 kJ/mol of formula units; ΔE to the lowest computed polymorph = 0.08 eV/f.u.
1.0
-5.8863 2.1450 0.2217
-2.5483 -6.5944 -1.0550
-1.4280 -4.2079 5.5988
Ta In Cl
1 2 6
direct
0.0000 0.0000 0.0000
0.8468 0.6698 0.6698
0.1532 0.3302 0.3302
0.2167 0.3211 0.8386
0.2201 0.8376 0.8376
0.2167 0.8386 0.3211
0.7833 0.6789 0.1614
0.7799 0.1624 0.1624
0.7833 0.1614 0.6789

=====

Repeat the fourth record exactly.
TaInCl2 (GGA-PBE, optimized geometry); space-group type = P4/mmm (123); ρ = 7.3 g/cm3; energy relative to the elements, uncorrected = 189 kJ/mol of formula units; ΔE to the lowest computed polymorph = 4.00 eV/f.u.
1.0
-3.5049 2.1644 1.8927
-0.8568 -3.4748 2.3869
2.5904 1.4877 3.0956
Cl In Ta
2 1 1
direct
0.0000 0.0000 0.0000
0.0000 0.5000 0.5000
0.5000 0.5000 0.0000
0.5000 0.0000 0.5000

=====

Q: Which of these has the highest ρ?
A: number 2

=====

Q: What is the energy relative to the elements, uncorrected in the fifth record?
A: -122 kJ/mol of formula units